VASP calculation (PBE+U) on a relaxed structure of BaSrVBiO6.

Lattice parameters (Å, degrees): 5.960 5.960 5.960 60.00 60.00 60.00
Sites, in units of the cell vectors:
Ba 0.000 0.000 0.000
Sr 0.500 0.500 0.500
V 0.250 0.250 0.250
Bi 0.750 0.750 0.750
O 0.023 0.023 0.477
O 0.023 0.477 0.023
O 0.023 0.477 0.477
O 0.477 0.023 0.023
O 0.477 0.023 0.477
O 0.477 0.477 0.023

Output
space group = No. 216
calculated total energy = -6.57 eV per atom
spin magnetization = 0.0 μB per cell
crystal system = cubic